# 1
# SrSnCl2, optimized geometry, DFT PBE-GGA
data_SrSnCl2
_chemical_formula_sum 'Sr4 Sn4 Cl8'
_cell_length_a 8.262
_cell_length_b 8.262
_cell_length_c 7.255
_cell_angle_alpha 90.00
_cell_angle_beta 90.00
_cell_angle_gamma 90.00
_space_group_name_H-M_alt 'I -4 2 d'
_space_group_IT_number 122
_space_group_name_Hall 'I -4 2bw'
loop_
_atom_site_label
_atom_site_fract_x
_atom_site_fract_y
_atom_site_fract_z
_atom_site_occupancy
Sr1 0.000 0.000 0.000 1
Sn1 0.000 0.000 0.500 1
Cl1 0.227 0.750 0.125 1
# - formation energy from raw total energies (eV per formula unit) = -4.606
# - density (g/cm3) = 3.72
# - energy relative to the lowest polymorph listed for this composition (meV/atom) = 229
# - final energy (eV/atom) = -3.496
# - crystal system = tetragonal

# 2
# Pm8ZnSe6, optimized geometry, DFT PBE-GGA
data_Pm8ZnSe6
_chemical_formula_sum 'Pm8 Zn1 Se6'
_cell_length_a 10.8217
_cell_length_b 10.8217
_cell_length_c 4.1956
_cell_angle_alpha 90.00
_cell_angle_beta 90.00
_cell_angle_gamma 120.00
_space_group_name_H-M_alt 'P -3'
_space_group_IT_number 147
loop_
_space_group_symop_operation_xyz
'x,y,z'
'-x,-y,-z'
'-y,x-y,z'
'y,-x+y,-z'
'-x+y,-x,z'
'x-y,x,-z'
loop_
_atom_site_label
_atom_site_fract_x
_atom_site_fract_y
_atom_site_fract_z
_atom_site_occupancy
Pm1 0.0349 0.7114 0.2494 1
Pm2 0.3333 0.6667 0.7502 1
Zn1 0.0000 0.0000 0.0000 1
Se1 0.1315 0.4834 0.2495 1
# - formation energy from raw total energies (eV per formula unit) = -19.489
# - density (g/cm3) = 6.63
# - final energy (eV/atom) = -5.312
# - crystal system = trigonal